# Ca2PbN SCAN PBEsol geometry
data_Ca2PbN
_chemical_formula_sum 'Ca8 Pb4 N4'
_cell_length_a 7.117
_cell_length_b 7.117
_cell_length_c 7.117
_cell_angle_alpha 90.00
_cell_angle_beta 90.00
_cell_angle_gamma 90.00
_space_group_name_H-M_alt 'F m -3 m'
_space_group_IT_number 225
_space_group_name_Hall '-F 4 2 3'
loop_
_atom_site_label
_atom_site_type_symbol
_atom_site_fract_x
_atom_site_fract_y
_atom_site_fract_z
Ca1 Ca 0.250 0.250 0.250
Pb1 Pb 0.000 0.000 0.000
N1 N 0.000 0.000 0.500
# Calculated total energy in eV/atom: -25.918
# Crystal system: cubic
# Magnetic moment in μB/atom: 0.00
# Formation energy (no corrections) in eV/atom: 0.18



# CaPbS2N SCAN PBEsol geometry
data_CaPbS2N
_chemical_formula_sum 'Ca1 Pb1 S2 N1'
_cell_length_a 5.208
_cell_length_b 5.208
_cell_length_c 4.418
_cell_angle_alpha 90.00
_cell_angle_beta 90.00
_cell_angle_gamma 90.00
_space_group_name_H-M_alt 'P 4/m m m'
_space_group_IT_number 123
_space_group_name_Hall '-P 4 2'
loop_
_atom_site_label
_atom_site_type_symbol
_atom_site_fract_x
_atom_site_fract_y
_atom_site_fract_z
Ca1 Ca 0.000 0.000 0.000
Pb1 Pb 0.500 0.500 0.500
S1 S 0.000 0.500 0.000
N1 N 0.000 0.000 0.500
# Calculated total energy in eV/atom: -22.648
# Crystal system: tetragonal
# Relative energy among the computed polymorphs in kJ per mole of atoms: 12.23
# Magnetic moment in μB/atom: 0.59
# Formation energy (no corrections) in eV/atom: 0.15



# CaPbS2N SCAN PBEsol geometry
data_CaPbS2N
_chemical_formula_sum 'Ca1 Pb1 S2 N1'
_cell_length_a 5.195
_cell_length_b 5.195
_cell_length_c 4.222
_cell_angle_alpha 90.00
_cell_angle_beta 90.00
_cell_angle_gamma 90.00
_space_group_name_H-M_alt 'P 4/m m m'
_space_group_IT_number 123
_space_group_name_Hall '-P 4 2'
loop_
_atom_site_label
_atom_site_type_symbol
_atom_site_fract_x
_atom_site_fract_y
_atom_site_fract_z
Ca1 Ca 0.000 0.000 0.000
Pb1 Pb 0.500 0.500 0.500
S1 S 0.000 0.500 0.500
N1 N 0.500 0.500 0.000
# Calculated total energy in eV/atom: -22.775
# Crystal system: tetragonal
# Relative energy among the computed polymorphs in kJ per mole of atoms: 0.00
# Magnetic moment in μB/atom: 0.27
# Formation energy (no corrections) in eV/atom: 0.02



# CaPdN2 SCAN PBEsol geometry
data_CaPdN2
_chemical_formula_sum 'Ca3 Pd3 N6'
_cell_length_a 3.3501
_cell_length_b 3.3501
_cell_length_c 17.9942
_cell_angle_alpha 90.00
_cell_angle_beta 90.00
_cell_angle_gamma 120.00
_space_group_name_H-M_alt 'R -3 m'
_space_group_IT_number 166
_space_group_name_Hall '-R 3 2"'
loop_
_atom_site_label
_atom_site_type_symbol
_atom_site_fract_x
_atom_site_fract_y
_atom_site_fract_z
Ca1 Ca 0.0000 0.0000 0.0000
Pd1 Pd 0.0000 0.0000 0.5000
N1 N 0.0000 0.0000 0.1212
# Calculated total energy in eV/atom: -14.525
# Crystal system: trigonal
# Relative energy among the computed polymorphs in kJ per mole of atoms: 19.94
# Magnetic moment in μB/atom: 0.00
# Formation energy (no corrections) in eV/atom: 0.73